No. 1
MgVAs, relaxed, DFT PBE; calculated formation energy = -122.7 kJ/mol of formula units; space group = P4/nmm (129); V = 50.25 Å³/f.u.
1.0
3.897 0.000 0.000
0.000 3.897 0.000
0.000 0.000 6.618
Mg V As
2 2 2
Direct
0.250 0.250 0.166
0.750 0.750 0.834
0.250 0.750 0.500
0.750 0.250 0.500
0.250 0.250 0.756
0.750 0.750 0.244


No. 2
MgV2As, relaxed, DFT PBE; calculated formation energy = 105.1 kJ/mol of formula units; space group = Fm-3m (225); V = 61.23 Å³/f.u.
1.0
6.257 0.000 0.000
0.000 6.257 0.000
0.000 0.000 6.257
Mg V As
4 8 4
Direct
0.000 0.000 0.000
0.000 0.500 0.500
0.500 0.000 0.500
0.500 0.500 0.000
0.250 0.250 0.250
0.250 0.250 0.750
0.250 0.750 0.250
0.250 0.750 0.750
0.750 0.250 0.250
0.750 0.250 0.750
0.750 0.750 0.250
0.750 0.750 0.750
0.000 0.000 0.500
0.000 0.500 0.000
0.500 0.000 0.000
0.500 0.500 0.500


No. 3
MgV2As, relaxed, DFT PBE; calculated formation energy = 144.5 kJ/mol of formula units; space group = I-42d (122); V = 72.42 Å³/f.u.
1.0
3.950 0.000 0.000
0.000 3.950 0.000
0.000 0.000 18.570
Mg V As
4 8 4
Direct
0.000 0.000 0.000
0.000 0.500 0.250
0.500 0.000 0.750
0.500 0.500 0.500
0.109 0.250 0.625
0.250 0.609 0.875
0.250 0.891 0.375
0.391 0.250 0.125
0.609 0.750 0.125
0.750 0.109 0.375
0.750 0.391 0.875
0.891 0.750 0.625
0.000 0.000 0.500
0.000 0.500 0.750
0.500 0.000 0.250
0.500 0.500 0.000


No. 4
MgV2As2, relaxed, DFT PBE; calculated formation energy = -8.2 kJ/mol of formula units; space group = I4/mmm (139); V = 87.78 Å³/f.u.
1.0
4.747 0.000 0.000
0.000 4.747 0.000
0.000 0.000 7.792
Mg V As
2 4 4
Direct
0.000 0.000 0.000
0.500 0.500 0.500
0.000 0.000 0.370
0.000 0.000 0.630
0.500 0.500 0.130
0.500 0.500 0.870
0.000 0.500 0.250
0.000 0.500 0.750
0.500 0.000 0.250
0.500 0.000 0.750